Record 1
Compound: YMgTa4
Source: Alexandria
Functional: PBE-GGA
Structure: optimized geometry

```
YMgTa4
1.0
0.0000 4.0110 4.0110
4.0110 0.0000 4.0110
4.0110 4.0110 0.0000
Y Mg Ta
1 1 4
Cartesian
0.0000 0.0000 0.0000
6.0164 6.0164 6.0164
2.9925 2.9925 2.9925
5.0295 5.0295 2.9925
5.0295 2.9925 5.0295
2.9925 5.0295 5.0295
```

Properties
Total energy   -53.586 eV for the cell shown
Magnetization   0.00 Bohr magnetons per cell
Formation enthalpy at 0 K   0.314 eV/atom

Record 2
Compound: YMgTa2
Source: Alexandria
Functional: PBE-GGA
Structure: optimized geometry

```
YMgTa2
1.0
3.3829 0.0000 0.0000
0.0000 4.7992 0.0000
0.0000 0.0000 5.2197
Y Mg Ta
1 1 2
Cartesian
0.0000 0.0000 0.0000
1.6914 2.3996 0.0000
0.0000 2.3996 2.6098
1.6914 0.0000 2.6098
```

Properties
Total energy   -30.117 eV for the cell shown
Magnetization   0.00 Bohr magnetons per cell
Formation enthalpy at 0 K   0.412 eV/atom

Record 3
Compound: YMgTa
Source: Alexandria
Functional: PBE-GGA
Structure: optimized geometry

```
YMgTa
1.0
0.0000 3.3893 3.3893
3.3893 0.0000 3.3893
3.3893 3.3893 0.0000
Y Mg Ta
1 1 1
Cartesian
0.0000 0.0000 0.0000
5.0840 5.0840 5.0840
3.3893 3.3893 3.3893
```

Properties
Total energy   -16.721 eV for the cell shown
Magnetization   0.00 Bohr magnetons per cell
Energy above the most stable polymorph in this dataset   803.9 meV/atom
Formation enthalpy at 0 K   1.063 eV/atom